(1)
Y2PaGe3Rh4, optimized geometry, DFT PBE; energy of formation = -0.843 eV/atom; size of the total moment = 0.0 μB/f.u.
1.0
4.221 0.000 0.000
0.000 4.221 0.000
0.000 0.000 10.934
Y Pa Ge Rh
2 1 3 4
direct
0.500 0.000 0.219
0.000 0.500 0.781
0.500 0.500 0.500
0.000 0.000 0.500
0.500 0.000 0.875
0.000 0.500 0.125
0.500 0.500 0.000
0.000 0.000 0.000
0.500 0.000 0.651
0.000 0.500 0.349



(2)
Pa2ZnGe3Rh4, optimized geometry, DFT PBE; energy of formation = -0.701 eV/atom; size of the total moment = 0.0 μB/f.u.
1.0
4.086 0.000 0.000
0.000 4.086 0.000
0.000 0.000 10.592
Pa Zn Ge Rh
2 1 3 4
direct
0.500 0.000 0.253
0.000 0.500 0.747
0.500 0.500 0.500
0.000 0.000 0.500
0.500 0.000 0.869
0.000 0.500 0.131
0.500 0.500 0.000
0.000 0.000 0.000
0.500 0.000 0.643
0.000 0.500 0.357



(3)
Pa4GeRu, optimized geometry, DFT PBE; energy of formation = -0.298 eV/atom; size of the total moment = 0.0 μB/f.u.; ΔE to the lowest computed polymorph = 46.0 meV/atom
1.0
-6.217 1.593 4.596
3.133 -4.217 2.602
4.815 5.565 -0.646
Pa Ge Ru
8 2 2
direct
0.933 0.360 0.117
0.684 0.756 0.117
0.411 0.730 0.698
0.589 0.270 0.302
0.213 0.032 0.302
0.316 0.244 0.883
0.787 0.968 0.698
0.067 0.640 0.883
0.388 0.638 0.276
0.612 0.362 0.724
0.002 0.752 0.504
0.998 0.248 0.496



(4)
Pa2Ge2Ru3, optimized geometry, DFT PBE; energy of formation = -0.483 eV/atom; size of the total moment = 0.0 μB/f.u.
1.0
4.113 -0.881 1.367
-1.067 6.357 -0.384
0.689 -0.970 5.729
Pa Ge Ru
2 2 3
direct
0.325 0.851 0.270
0.675 0.149 0.730
0.140 0.637 0.808
0.860 0.363 0.192
0.000 0.000 0.000
0.218 0.336 0.409
0.782 0.664 0.591



(5)
Pa2Ge5Ru3, optimized geometry, DFT PBE; energy of formation = -0.526 eV/atom; size of the total moment = 0.0 μB/f.u.
1.0
5.876 0.000 0.000
2.938 7.874 0.088
2.938 1.302 7.766
Pa Ge Ru
4 10 6
direct
0.140 0.589 0.131
0.640 0.131 0.589
0.860 0.411 0.869
0.360 0.869 0.411
0.409 0.256 0.927
0.909 0.927 0.256
0.591 0.744 0.073
0.091 0.073 0.744
0.464 0.786 0.786
0.536 0.214 0.214
0.750 0.500 0.500
0.250 0.500 0.500
0.036 0.214 0.214
0.964 0.786 0.786
0.352 0.539 0.758
0.852 0.758 0.539
0.648 0.461 0.242
0.148 0.242 0.461
0.250 0.000 0.000
0.750 0.000 0.000



(6)
Pa2Ge8Ru, optimized geometry, DFT PBE; energy of formation = -0.382 eV/atom; size of the total moment = 0.0 μB/f.u.
1.0
4.321 0.000 0.000
0.000 4.321 0.000
0.000 0.000 11.109
Pa Ge Ru
2 8 1
direct
0.000 0.000 0.314
0.000 0.000 0.686
0.000 0.500 0.500
0.500 0.000 0.500
0.500 0.500 0.308
0.500 0.500 0.692
0.000 0.500 0.124
0.500 0.000 0.124
0.000 0.500 0.876
0.500 0.000 0.876
0.000 0.000 0.000



(7)
Pa5Ge5Ru2, optimized geometry, DFT PBE; energy of formation = -0.505 eV/atom; size of the total moment = 0.0 μB/f.u.
1.0
4.079 0.000 0.920
1.994 7.584 0.664
0.269 -0.249 8.309
Pa Ge Ru
5 5 2
direct
0.000 0.500 0.500
0.704 0.683 0.908
0.369 0.955 0.306
0.631 0.045 0.694
0.296 0.317 0.092
0.696 0.231 0.377
0.953 0.283 0.810
0.047 0.717 0.190
0.304 0.769 0.623
0.000 0.000 0.000
0.386 0.462 0.767
0.614 0.538 0.233



(8)
Pa2GeRu, optimized geometry, DFT PBE; energy of formation = -0.405 eV/atom; size of the total moment = 0.0 μB/f.u.; ΔE to the lowest computed polymorph = 116.9 meV/atom
1.0
-1.730 -0.417 3.851
1.777 -3.931 0.372
3.532 1.764 1.777
Ru Ge Pa
1 1 2
direct
0.500 0.000 0.000
0.500 0.500 0.500
0.000 0.000 0.500
0.000 0.500 0.000